# CeY2Er PBE-GGA optimized geometry
data_CeY2Er
_chemical_formula_sum 'Ce1 Y2 Er1'
_cell_length_a 3.5312
_cell_length_b 3.5312
_cell_length_c 10.0661
_cell_angle_alpha 90.00
_cell_angle_beta 90.00
_cell_angle_gamma 90.00
_space_group_name_H-M_alt 'P 4/m m m'
_space_group_IT_number 123
_space_group_name_Hall '-P 4 2'
loop_
_atom_site_label
_atom_site_fract_x
_atom_site_fract_y
_atom_site_fract_z
_atom_site_occupancy
Ce1 0.0000 0.0000 0.0000 1
Y1 0.5000 0.5000 0.2479 1
Er1 0.0000 0.0000 0.5000 1
# energy relative to the lowest polymorph listed for this composition = 8 meV per atom
# crystal system = tetragonal
# calculated volume = 31.38 A^3/atom

# Hf2MoPt PBE-GGA optimized geometry
data_Hf2MoPt
_chemical_formula_sum 'Hf4 Mo2 Pt2'
_cell_length_a 2.8683
_cell_length_b 5.1308
_cell_length_c 10.5671
_cell_angle_alpha 90.00
_cell_angle_beta 90.00
_cell_angle_gamma 90.00
_space_group_name_H-M_alt 'I m m m'
_space_group_IT_number 71
_space_group_name_Hall '-I 2 2'
loop_
_atom_site_label
_atom_site_fract_x
_atom_site_fract_y
_atom_site_fract_z
_atom_site_occupancy
Hf1 0.0000 0.0000 0.2445 1
Mo1 0.0000 0.0000 0.5000 1
Pt1 0.0000 0.0000 0.0000 1
# E_tot = -8.89 eV per atom
# crystal system = orthorhombic
# calculated volume = 19.44 A^3/atom

# TaTi3Co2 PBE-GGA optimized geometry
data_TaTi3Co2
_chemical_formula_sum 'Ta1 Ti3 Co2'
_cell_length_a 3.0080
_cell_length_b 3.0080
_cell_length_c 9.6877
_cell_angle_alpha 90.00
_cell_angle_beta 90.00
_cell_angle_gamma 90.00
_space_group_name_H-M_alt 'P 4/m m m'
_space_group_IT_number 123
_space_group_name_Hall '-P 4 2'
loop_
_atom_site_label
_atom_site_fract_x
_atom_site_fract_y
_atom_site_fract_z
_atom_site_occupancy
Ta1 0.0000 0.0000 0.0000 1
Ti1 0.5000 0.5000 0.1975 1
Ti2 0.5000 0.5000 0.5000 1
Co1 0.0000 0.0000 0.3527 1
# energy relative to the lowest polymorph listed for this composition = 0 meV per atom
# crystal system = tetragonal
# calculated volume = 14.61 A^3/atom

# MgTaTc2 PBE-GGA optimized geometry
data_MgTaTc2
_chemical_formula_sum 'Mg1 Ta1 Tc2'
_cell_length_a 2.7262
_cell_length_b 4.5425
_cell_length_c 5.2937
_cell_angle_alpha 90.00
_cell_angle_beta 101.78
_cell_angle_gamma 90.00
_space_group_name_H-M_alt 'P 1 m 1'
_space_group_IT_number 6
loop_
_space_group_symop_operation_xyz
'x,y,z'
'x,-y,z'
loop_
_atom_site_label
_atom_site_fract_x
_atom_site_fract_y
_atom_site_fract_z
_atom_site_occupancy
Mg1 0.0000 0.0000 0.0000 1
Ta1 0.7071 0.5000 0.2654 1
Tc1 0.2486 0.5000 0.7614 1
Tc2 0.4579 0.0000 0.5126 1
# E_tot = -8.45 eV per atom
# crystal system = monoclinic
# calculated volume = 16.04 A^3/atom

# Er4SiI5 PBE-GGA optimized geometry
data_Er4SiI5
_chemical_formula_sum 'Er8 Si2 I10'
_cell_length_a 18.9731
_cell_length_b 4.1580
_cell_length_c 8.7247
_cell_angle_alpha 90.00
_cell_angle_beta 102.60
_cell_angle_gamma 90.00
_space_group_name_H-M_alt 'C 1 2/m 1'
_space_group_IT_number 12
loop_
_space_group_symop_operation_xyz
'x,y,z'
'-x,-y,-z'
'-x,y,-z'
'x,-y,z'
'x+1/2,y+1/2,z'
'-x+1/2,-y+1/2,-z'
'-x+1/2,y+1/2,-z'
'x+1/2,-y+1/2,z'
loop_
_atom_site_label
_atom_site_fract_x
_atom_site_fract_y
_atom_site_fract_z
_atom_site_occupancy
Er1 0.9999 0.0000 0.2071 1
Er2 0.1442 0.5000 0.0726 1
Si1 0.0000 0.5000 0.0000 1
I1 0.0000 0.5000 0.5000 1
I2 0.1660 0.0000 0.3353 1
I3 0.1720 0.0000 0.8298 1
# ΔE_f (raw) = -1.122 eV/atom
# crystal system = monoclinic
# calculated volume = 33.59 A^3/atom

# Pm4As2O PBE-GGA optimized geometry
data_Pm4As2O
_chemical_formula_sum 'Pm8 As4 O2'
_cell_length_a 4.5917
_cell_length_b 4.5917
_cell_length_c 16.1088
_cell_angle_alpha 90.00
_cell_angle_beta 90.00
_cell_angle_gamma 90.00
_space_group_name_H-M_alt 'I 4/m m m'
_space_group_IT_number 139
_space_group_name_Hall '-I 4 2'
loop_
_atom_site_label
_atom_site_fract_x
_atom_site_fract_y
_atom_site_fract_z
_atom_site_occupancy
Pm1 0.0000 0.0000 0.1759 1
Pm2 0.0000 0.5000 0.0000 1
As1 0.0000 0.0000 0.3629 1
O1 0.0000 0.0000 0.0000 1
# ΔE_f (raw) = -1.500 eV/atom
# crystal system = tetragonal
# calculated volume = 24.26 A^3/atom